{"formula": "NiHBrO", "functional": "PBE+U", "state": "relaxed", "space_group": "No. 8", "total_energy_ev_per_atom": -3.9633, "vol_a3_per_atom": 14.24, "lattice_angstrom": [[2.971, -1.715, 0.000], [2.971, 1.715, 0.000], [-2.124, 0.000, 5.587]], "species": ["Ni", "H", "Br", "O"], "frac_coords": [[0.000, 0.000, 0.000], [0.216, 0.216, 0.674], [0.771, 0.771, 0.294], [0.280, 0.280, 0.849]]}